[1]
This record from the Alexandria database describes an optimized crystal structure of PaIO2. The functional is GGA-PBE.

POSCAR file:
```
PaIO2
1.0
1.899 1.097 5.974
-1.899 1.097 5.974
0.000 -2.193 5.974
Pa I O
1 1 2
direct
0.000 0.000 0.000
0.500 0.500 0.500
0.301 0.301 0.301
0.699 0.699 0.699
```

Summary:
Symmetry: No. 166

=====

[2]
This record from the Alexandria database describes an optimized crystal structure of TbSm2GeC. The functional is GGA-PBE.

POSCAR file:
```
TbSm2GeC
1.0
1.864 -8.490 0.000
1.864 8.490 0.000
0.000 0.000 7.601
Tb Sm Ge C
2 4 2 2
direct
0.010 0.990 0.750
0.990 0.010 0.250
0.354 0.646 0.524
0.354 0.646 0.976
0.646 0.354 0.024
0.646 0.354 0.476
0.198 0.802 0.750
0.802 0.198 0.250
0.500 0.500 0.000
0.500 0.500 0.500
```

Summary:
D(E_F) in states/eV per cell: 8.04
Symmetry: No. 63

=====

[3]
This record from the Alexandria database describes an optimized crystal structure of Tb5PmAu4. The functional is GGA-PBE.

POSCAR file:
```
Tb5PmAu4
1.0
3.596 0.000 0.000
0.000 3.596 0.000
0.000 0.000 19.753
Tb Pm Au
5 1 4
direct
0.000 0.000 0.000
0.000 0.000 0.186
0.000 0.000 0.369
0.000 0.000 0.631
0.000 0.000 0.814
0.500 0.500 0.500
0.500 0.500 0.093
0.500 0.500 0.280
0.500 0.500 0.720
0.500 0.500 0.907
```

Summary:
D(E_F) in states/eV per cell: 7.81
Symmetry: No. 123

=====

[4]
This record from the Alexandria database describes an optimized crystal structure of Tb8Ga3Bi2. The functional is GGA-PBE.

POSCAR file:
```
Tb8Ga3Bi2
1.0
5.071 -7.556 0.000
5.071 7.556 0.000
0.000 0.000 5.014
Tb Ga Bi
8 3 2
direct
0.111 0.889 0.000
0.143 0.373 0.500
0.373 0.143 0.500
0.382 0.618 0.000
0.618 0.382 0.000
0.627 0.857 0.500
0.857 0.627 0.500
0.889 0.111 0.000
0.242 0.242 0.000
0.500 0.500 0.500
0.758 0.758 0.000
0.240 0.760 0.500
0.760 0.240 0.500
```

Summary:
D(E_F) in states/eV per cell: 10.58
Symmetry: No. 65

=====

[5]
This record from the Alexandria database describes an optimized crystal structure of ErTm2HfAs4. The functional is GGA-PBE.

POSCAR file:
```
ErTm2HfAs4
1.0
6.923 0.000 0.000
0.000 3.994 0.000
-2.286 0.000 6.537
Er Tm Hf As
1 2 1 4
direct
0.000 0.000 0.000
0.500 0.000 0.500
0.500 0.500 0.000
0.000 0.500 0.500
0.241 0.000 0.740
0.246 0.500 0.256
0.754 0.500 0.744
0.759 0.000 0.260
```

Summary:
D(E_F) in states/eV per cell: 1.32
Symmetry: No. 10

=====

[6]
This record from the Alexandria database describes an optimized crystal structure of IrOs2Au. The functional is GGA-PBE.

POSCAR file:
```
IrOs2Au
1.0
1.388 0.801 9.155
-1.388 0.801 9.155
0.000 -1.602 9.155
Ir Os Au
1 2 1
direct
0.000 0.000 0.000
0.489 0.489 0.489
0.746 0.746 0.746
0.245 0.245 0.245
```

Summary:
D(E_F) in states/eV per cell: 4.72
Symmetry: No. 160

=====

no.,total DFT energy (no corrections) (eV/atom),magnetization (μB per atom)
1,-7.831,0.020
2,-5.891,0.000
3,-4.776,0.000
4,-4.571,0.000
5,-6.639,0.000
6,-8.394,0.000